Below is crystalline SmPaZn4 at its relaxed geometry, with properties calculated at the PBE level.

Structure (CIF):
```
data_SmPaZn4
_symmetry_space_group_name_H-M 'P 1'
_symmetry_Int_Tables_number 1
_cell_length_a 5.475
_cell_length_b 5.475
_cell_length_c 5.475
_cell_angle_alpha 60.00
_cell_angle_beta 60.00
_cell_angle_gamma 60.00
loop_
_symmetry_equiv_pos_as_xyz
'x,y,z'
loop_
_atom_site_label
_atom_site_type_symbol
_atom_site_fract_x
_atom_site_fract_y
_atom_site_fract_z
Zn1 Zn 0.625 0.625 0.125
Zn2 Zn 0.625 0.125 0.625
Zn3 Zn 0.625 0.625 0.625
Zn4 Zn 0.125 0.625 0.625
Pa1 Pa 0.250 0.250 0.250
Sm1 Sm 0.000 0.000 0.000
```

## Properties
Its density is 9.20 Mg/m³. The calculation puts the energy of formation from the pure elements at -152 meV/atom. As for the spin magnetization: 0.0 μB per formula unit. The raw total energy is -3.37 eV per atom.